1.
A relaxed structure of NbFeAsIr. Source: OQMD via LeMat-Bulk, functional GGA-PBE.

The space group is F-43m (No. 216) and the conventional cell measures 6.2431, 6.2431 and 6.2431 Å, with angles of 90.00, 90.00 and 90.00 degrees. Symmetry generates all atoms from Nb at (0.0000, 0.0000, 0.0000), Fe at (0.2500, 0.2500, 0.7500), As at (0.0000, 0.0000, 0.5000) and Ir at (0.2500, 0.2500, 0.2500).

The total energy comes out at -7.941 eV per atom. The density comes out at 11352 kg/m³.

2.
A relaxed structure of MgFeAsOs. Source: OQMD via LeMat-Bulk, functional GGA-PBE.

The space group is F-43m (No. 216) and the conventional cell measures 6.0032, 6.0032 and 6.0032 Å, with angles of 90.00, 90.00 and 90.00 degrees. Symmetry generates all atoms from Mg at (0.0000, 0.0000, 0.0000), Fe at (0.2500, 0.2500, 0.7500), As at (0.0000, 0.0000, 0.5000) and Os at (0.2500, 0.2500, 0.2500).

The total energy comes out at -6.194 eV per atom. The density comes out at 10601 kg/m³.

3.
A relaxed structure of KZrAu3Se4. Source: OQMD via LeMat-Bulk, functional GGA-PBE.

The space group is P-43m (No. 215) and the conventional cell measures 6.4566, 6.4566 and 6.4566 Å, with angles of 90.00, 90.00 and 90.00 degrees. Symmetry generates all atoms from K at (0.0000, 0.0000, 0.0000), Zr at (0.5000, 0.5000, 0.5000), Au at (0.0000, 0.5000, 0.5000) and Se at (0.2716, 0.2716, 0.2716).

The total energy comes out at -4.355 eV per atom. The density comes out at 6398 kg/m³.

4.
A relaxed structure of PmNiAg. Source: OQMD via LeMat-Bulk, functional GGA-PBE.

The space group is F-43m (No. 216) and the conventional cell measures 6.7263, 6.7263 and 6.7263 Å, with angles of 90.00, 90.00 and 90.00 degrees. Symmetry generates all atoms from Pm at (0.0000, 0.0000, 0.0000), Ni at (0.2500, 0.2500, 0.2500) and Ag at (0.2500, 0.2500, 0.7500).

The formation energy from the elements is 1.0 eV per formula unit. The density comes out at 6800 kg/m³.

5.
A relaxed structure of BiIrI6. Source: OQMD via LeMat-Bulk, functional GGA-PBE.

The space group is C2 (No. 5) and the conventional cell measures 7.5352, 13.0193 and 7.4548 Å, with angles of 90.00, 108.83 and 90.00 degrees. Symmetry generates all atoms from Bi at (0.0000, 0.0000, 0.0000), Ir at (0.0000, 0.6664, 0.0000), I at (0.2130, 0.8111, 0.2300), I at (0.2179, 0.6649, 0.7752) and I at (0.2200, 0.5224, 0.2285).

The total energy comes out at -3.033 eV per atom. The density comes out at 5578 kg/m³.

6.
A relaxed structure of YPIrO. Source: OQMD via LeMat-Bulk, functional GGA-PBE.

The space group is P4/nmm (No. 129, origin choice 2) and the conventional cell measures 5.6036, 5.6036 and 4.4470 Å, with angles of 90.00, 90.00 and 90.00 degrees. Symmetry generates all atoms from Y at (0.2500, 0.7500, 0.0000), P at (0.2500, 0.2500, 0.0007), Ir at (0.2500, 0.2500, 0.5007) and O at (0.2500, 0.7500, 0.5000).

The total energy comes out at -7.199 eV per atom. The density comes out at 7803 kg/m³.